(1)
Compound: KLiAs2O6
Source: the Alexandria database
Functional: PBE
Structure: optimized geometry

Geometry as extended XYZ:
```
20
Lattice="5.2857 -5.7350 0.0000 5.2857 5.7350 0.0000 -1.3758 0.0000 5.1358" Properties=species:S:1:pos:R:3 pbc="T T T"
K 4.2538 4.4461 3.8519
K 4.9417 -4.4461 1.2840
Li 4.9417 3.0488 1.2840
Li 4.2538 -3.0488 3.8519
As 2.0191 0.9747 4.2399
As 2.7070 -0.9747 1.6720
As 6.4886 0.9747 3.4639
As 7.1764 -0.9747 0.8960
O 0.3919 1.1156 3.8401
O 2.8733 2.2893 4.7867
O 1.0798 -1.1156 1.2722
O 2.9338 0.4402 2.7695
O 3.6216 -0.4402 0.2016
O 5.6344 2.2893 2.9170
O 3.5612 -2.2893 2.2188
O 5.5739 0.4402 4.9343
O 6.2618 -0.4402 2.3664
O 8.1157 1.1156 3.8636
O 6.3222 -2.2893 0.3491
O 8.8036 -1.1156 1.2957
```

Symmetry: C2/c (15)
Energy relative to the elements, uncorrected, eV/f.u.: -14.87
Raw total energy, eV/atom: -5.693

=====

(2)
Compound: Hg2Ge2Au
Source: the Alexandria database
Functional: PBE
Structure: optimized geometry

Geometry as extended XYZ:
```
10
Lattice="6.6183 0.0000 0.0000 0.0000 6.6183 0.0000 0.0000 0.0000 5.5693" Properties=species:S:1:pos:R:3 pbc="T T T"
Hg 1.1717 2.1374 0.0000
Hg 2.1374 5.4466 0.0000
Hg 4.4809 1.1717 0.0000
Hg 5.4466 4.4809 0.0000
Ge 0.9058 2.4033 2.7847
Ge 2.4033 5.7125 2.7847
Ge 4.2150 0.9058 2.7847
Ge 5.7125 4.2150 2.7847
Au 0.0000 0.0000 2.7847
Au 3.3092 3.3092 2.7847
```

Symmetry: P4/mbm (127)
Energy of formation from the pure elements, meV/atom: 56
Raw total energy, eV/atom: -2.567

=====

(3)
Compound: TbPr2Dy3Bi6
Source: the Alexandria database
Functional: PBE
Structure: optimized geometry

Geometry as extended XYZ:
```
12
Lattice="9.8782 -2.2683 0.0000 9.8782 2.2683 0.0000 -2.0685 0.0000 8.8281" Properties=species:S:1:pos:R:3 pbc="T T T"
Tb 0.0000 0.0000 0.0000
Pr 5.2221 0.0000 5.8946
Pr 12.4659 0.0000 2.9335
Dy -1.0342 0.0000 4.4140
Dy 6.2145 0.0000 1.4676
Dy 11.4734 0.0000 7.3605
Bi 2.0302 0.0000 5.2015
Bi 3.1289 0.0000 0.6652
Bi 9.2985 0.0000 2.1976
Bi 8.3895 0.0000 6.6305
Bi 14.5591 0.0000 8.1629
Bi 15.6577 0.0000 3.6266
```

Symmetry: C2/m (12)
Energy of formation from the pure elements, meV/atom: -892
Raw total energy, eV/atom: -5.165

=====

(4)
Compound: CaBe2Au6
Source: the Alexandria database
Functional: PBE
Structure: optimized geometry

Geometry as extended XYZ:
```
9
Lattice="-1.7933 4.5753 5.0114 1.7933 -4.5753 5.0114 1.7933 4.5753 -5.0114" Properties=species:S:1:pos:R:3 pbc="T T T"
Ca 0.0000 0.0000 0.0000
Be 0.0000 3.1849 0.0000
Be 0.0000 5.9658 0.0000
Au 1.7933 2.3152 -1.3785
Au 1.7933 0.0000 3.0747
Au 1.7933 2.3152 1.3785
Au 0.0000 2.2601 3.6329
Au 0.0000 4.5753 1.9366
Au 0.0000 2.2601 6.3898
```

Symmetry: Immm (71)
Energy of formation from the pure elements, meV/atom: -301
Raw total energy, eV/atom: -3.536

=====

(5)
Compound: CeHgBi2
Source: the Alexandria database
Functional: PBE
Structure: optimized geometry

Geometry as extended XYZ:
```
4
Lattice="4.3102 0.0000 0.0000 0.0000 4.3102 0.0000 0.0000 0.0000 6.7035" Properties=species:S:1:pos:R:3 pbc="T T T"
Ce 0.0000 0.0000 0.0000
Hg 0.0000 0.0000 3.3517
Bi 2.1551 2.1551 1.5251
Bi 2.1551 2.1551 5.1784
```

Symmetry: P4/mmm (123)
Energy of formation from the pure elements, meV/atom: -382
Raw total energy, eV/atom: -3.881

=====

(6)
Compound: Pm3NdIn
Source: the Alexandria database
Functional: PBE
Structure: optimized geometry

Geometry as extended XYZ:
```
10
Lattice="4.7946 2.7682 4.1617 -4.7946 2.7682 4.1617 0.0000 -5.5363 4.1617" Properties=species:S:1:pos:R:3 pbc="T T T"
Pm -1.6010 -2.7682 5.2021
Pm -3.1978 0.0024 7.2829
Pm -1.5968 2.7706 5.2021
Pm 1.5968 -2.7706 7.2829
Pm 3.1978 -0.0024 5.2021
Pm 1.6010 2.7682 7.2829
Nd 0.0000 0.0000 0.0000
Nd 0.0000 0.0000 6.2425
In 0.0000 0.0000 3.1213
In 0.0000 0.0000 9.3638
```

Symmetry: R-3c (167)
Energy of formation from the pure elements, meV/atom: -38
Raw total energy, eV/atom: -4.389